[1]
12
Lattice="4.330 0.000 0.000 0.000 23.065 0.000 0.000 0.000 4.199" Properties=species:S:1:pos:R:3 comment="KSb2 | the Alexandria database | PBEsol | relaxed" space_group="No. 63" pbc="T T T"
K 0.000 2.783 1.050
K 0.000 20.283 3.149
K 2.165 8.750 3.149
K 2.165 14.315 1.050
Sb 0.000 5.794 3.149
Sb 0.000 10.622 1.050
Sb 0.000 12.443 3.149
Sb 0.000 17.271 1.050
Sb 2.165 0.910 3.149
Sb 2.165 5.739 1.050
Sb 2.165 17.327 3.149
Sb 2.165 22.155 1.050

***

[2]
12
Lattice="6.748 0.000 0.000 0.000 4.070 0.000 0.000 0.000 7.880" Properties=species:S:1:pos:R:3 comment="TmAlRh | the Alexandria database | PBEsol | relaxed" formation_enthalpy_0k_ev_per_atom=-0.932 space_group="No. 62" pbc="T T T"
Tm 0.257 1.018 1.407
Tm 3.117 3.053 5.347
Tm 3.631 1.018 2.533
Tm 6.491 3.053 6.473
Al 0.912 1.018 4.412
Al 2.462 3.053 0.472
Al 4.286 1.018 7.408
Al 5.836 3.053 3.468
Rh 1.614 3.053 2.964
Rh 1.760 1.018 6.904
Rh 4.988 3.053 0.976
Rh 5.134 1.018 4.916

***

[3]
8
Lattice="3.615 0.000 0.000 0.000 5.102 0.000 0.000 0.000 10.706" Properties=species:S:1:pos:R:3 comment="YSc2In | the Alexandria database | PBEsol | relaxed" formation_enthalpy_0k_ev_per_atom=-0.274 space_group="No. 71" pbc="T T T"
Y 0.000 0.000 0.000
Y 1.807 2.551 5.353
Sc 0.000 2.551 2.420
Sc 0.000 2.551 8.286
Sc 1.807 0.000 2.933
Sc 1.807 0.000 7.774
In 0.000 0.000 5.353
In 1.807 2.551 0.000

***

[4]
5
Lattice="4.618 0.000 0.000 0.000 4.618 0.000 0.000 0.000 4.489" Properties=species:S:1:pos:R:3 comment="TlNi2MoS | the Alexandria database | PBEsol | relaxed" space_group="No. 123" pbc="T T T"
Tl 0.000 0.000 0.000
Ni 0.000 2.309 2.245
Ni 2.309 0.000 2.245
Mo 2.309 2.309 2.245
S 2.309 2.309 0.000

***

[5]
32
Lattice="7.831 0.000 0.000 0.000 8.120 0.000 0.000 0.000 7.963" Properties=species:S:1:pos:R:3 comment="IF7 | the Alexandria database | PBEsol | relaxed" space_group="No. 17" e_above_lowest_polymorph_ev_per_atom=0.007 pbc="T T T"
I 1.852 0.000 0.000
I 2.040 4.060 3.982
I 5.791 4.060 0.000
I 5.979 0.000 3.982
F 0.324 0.911 7.312
F 0.324 7.208 0.652
F 0.516 3.215 3.257
F 0.516 4.905 4.706
F 2.099 3.252 5.633
F 2.099 4.868 2.330
F 2.184 0.188 6.141
F 2.185 1.787 0.405
F 2.185 6.333 7.558
F 2.184 7.932 1.822
F 2.590 2.384 3.324
F 2.590 5.736 4.639
F 3.719 0.000 0.000
F 3.905 4.060 0.000
F 3.927 4.060 3.982
F 4.112 0.000 3.982
F 5.241 2.384 0.658
F 5.241 5.736 7.305
F 5.647 0.188 5.804
F 5.647 1.787 3.577
F 5.647 6.333 4.386
F 5.647 7.932 2.159
F 5.733 3.252 6.312
F 5.733 4.868 1.651
F 7.315 3.215 0.725
F 7.315 4.905 7.238
F 7.507 0.911 4.633
F 7.507 7.208 3.330

***

[6]
5
Lattice="5.055 0.000 0.000 0.000 5.055 0.000 0.000 0.000 3.949" Properties=species:S:1:pos:R:3 comment="CdAsSe2F | the Alexandria database | PBEsol | relaxed" space_group="No. 123" pbc="T T T"
Cd 0.000 0.000 0.000
As 2.527 2.527 0.000
Se 0.000 2.527 1.975
Se 2.527 0.000 1.975
F 2.527 2.527 1.975

***

[7]
8
Lattice="4.463 0.000 0.000 0.000 6.403 0.000 0.000 0.000 4.468" Properties=species:S:1:pos:R:3 comment="Mg2ZnCu | the Alexandria database | PBEsol | relaxed" formation_enthalpy_0k_ev_per_atom=-0.061 space_group="No. 59" pbc="T T T"
Mg 1.116 0.000 1.091
Mg 1.116 3.201 1.091
Mg 3.347 6.403 3.377
Mg 3.347 3.202 3.377
Zn 1.116 1.601 3.309
Zn 3.347 4.803 1.159
Cu 1.116 4.803 3.310
Cu 3.347 1.601 1.158

***

[8]
10
Lattice="0.000 4.710 4.710 4.710 0.000 4.710 4.710 4.710 0.000" Properties=species:S:1:pos:R:3 comment="Cs2RbNbF6 | the Alexandria database | PBEsol | relaxed" space_group="No. 225" pbc="T T T"
Cs 2.355 2.355 2.355
Cs 7.064 7.064 7.064
Rb 0.000 0.000 0.000
Nb 4.710 4.710 4.710
F 4.710 4.710 2.621
F 4.710 2.621 4.710
F 6.798 4.710 4.710
F 2.621 4.710 4.710
F 4.710 6.798 4.710
F 4.710 4.710 6.798

***

[9]
5
Lattice="4.321 0.000 0.000 0.000 4.321 0.000 0.000 0.000 4.270" Properties=species:S:1:pos:R:3 comment="TiSbNF2 | the Alexandria database | PBEsol | relaxed" space_group="No. 123" pbc="T T T"
Ti 0.000 0.000 0.000
Sb 2.160 2.160 2.135
N 2.160 2.160 0.000
F 0.000 2.160 2.135
F 2.160 0.000 2.135

***

[10]
12
Lattice="6.279 0.000 0.000 0.000 6.279 0.000 0.000 0.000 6.279" Properties=species:S:1:pos:R:3 comment="ScBeTl | the Alexandria database | PBEsol | relaxed" formation_enthalpy_0k_ev_per_atom=0.173 space_group="No. 216" e_above_lowest_polymorph_ev_per_atom=0.065 pbc="T T T"
Sc 0.000 0.000 0.000
Sc 0.000 3.140 3.140
Sc 3.140 0.000 3.140
Sc 3.140 3.140 0.000
Be 0.000 0.000 3.140
Be 0.000 3.140 0.000
Be 3.140 0.000 0.000
Be 3.140 3.140 3.140
Tl 1.570 1.570 4.709
Tl 1.570 4.709 1.570
Tl 4.709 1.570 1.570
Tl 4.709 4.709 4.709

***

[11]
8
Lattice="11.756 0.000 0.000 0.000 3.647 0.000 -1.539 0.000 4.053" Properties=species:S:1:pos:R:3 comment="SbAs2Au | the Alexandria database | PBEsol | relaxed" space_group="No. 12" pbc="T T T"
Sb 0.000 0.000 0.000
Sb 5.878 1.823 0.000
As 1.744 1.823 2.762
As 2.596 0.000 1.291
As 7.622 0.000 2.762
As 8.474 1.823 1.291
Au -0.769 1.823 2.026
Au 5.109 0.000 2.026

***

[12]
5
Lattice="6.188 0.000 0.000 0.000 6.188 0.000 0.000 0.000 6.188" Properties=species:S:1:pos:R:3 comment="K3RbRh | the Alexandria database | PBEsol | relaxed" formation_enthalpy_0k_ev_per_atom=0.531 space_group="No. 221" e_above_lowest_polymorph_ev_per_atom=0.000 pbc="T T T"
K 0.000 0.000 3.094
K 0.000 3.094 0.000
K 3.094 0.000 0.000
Rb 3.094 3.094 3.094
Rh 0.000 0.000 0.000

***

Listing E for the structures above in their given order: -3.60 -6.64 -6.03 -5.55 -3.29 -3.03 -2.40 -5.27 -5.38 -4.24 -4.70 -1.98 eV/atom.